# KCr2H2O6, optimized geometry, DFT PBE with a Hubbard U
# DOS at the Fermi energy (states/eV/cell): 2.129
# Total energy (eV for the cell shown): -67.83
# Total magnetic moment (μB per formula unit): 3.0
data_KCr2H2O6
_symmetry_space_group_name_H-M 'P -1'
_symmetry_Int_Tables_number 2
_symmetry_space_group_name_Hall '-P 1'
_cell_length_a 5.2558
_cell_length_b 5.4893
_cell_length_c 6.1904
_cell_angle_alpha 90.06
_cell_angle_beta 106.26
_cell_angle_gamma 114.58
loop_
_atom_site_label
_atom_site_type_symbol
_atom_site_fract_x
_atom_site_fract_y
_atom_site_fract_z
_atom_site_occupancy
K1 K 0.0000 0.0000 0.0000 1
Cr1 Cr 0.4859 0.7302 0.4039 1
H1 H 0.0595 0.7618 0.5223 1
O1 O 0.2362 0.3641 0.4136 1
O2 O 0.2405 0.8702 0.4744 1
O3 O 0.4866 0.7466 0.1389 1